DFT (GGA-PBE) results for an optimized crystal structure of HoTm3ThSc.

Cell: 7.723 7.723 9.942 Å, 90.00 90.00 142.96°
Positions (direct):
Ho (0.000, 0.000, 0.000)
Ho (0.000, 0.000, 0.500)
Tm (0.169, 0.831, 0.750)
Tm (0.334, 0.666, 0.000)
Tm (0.334, 0.666, 0.500)
Tm (0.666, 0.334, 0.000)
Tm (0.666, 0.334, 0.500)
Tm (0.831, 0.169, 0.250)
Th (0.498, 0.502, 0.750)
Th (0.502, 0.498, 0.250)
Sc (0.166, 0.834, 0.250)
Sc (0.834, 0.166, 0.750)

Properties
Energy relative to the elements: 0.3 eV/f.u.
Density of states at the Fermi level: 20.2 states/eV per cell
Raw total energy: -5.24 eV per atom

***

DFT (GGA-PBE) results for an optimized crystal structure of HoTmThSc.

Cell: 7.795 7.795 7.795 Å, 90.00 90.00 90.00°
Positions (direct):
Ho (0.000, 0.000, 0.000)
Ho (0.000, 0.500, 0.500)
Ho (0.500, 0.000, 0.500)
Ho (0.500, 0.500, 0.000)
Tm (0.250, 0.250, 0.750)
Tm (0.250, 0.750, 0.250)
Tm (0.750, 0.250, 0.250)
Tm (0.750, 0.750, 0.750)
Th (0.000, 0.000, 0.500)
Th (0.000, 0.500, 0.000)
Th (0.500, 0.000, 0.000)
Th (0.500, 0.500, 0.500)
Sc (0.250, 0.250, 0.250)
Sc (0.250, 0.750, 0.750)
Sc (0.750, 0.250, 0.750)
Sc (0.750, 0.750, 0.250)

Properties
Energy relative to the elements: 0.4 eV/f.u.
Density of states at the Fermi level: 28.9 states/eV per cell
Raw total energy: -5.60 eV per atom
Excess energy over the best structure of this formula in the dataset: 0.0806 eV per atom

***

The lowest raw total energy belongs to which entry? HoTmThSc

***

Which of these has the lowest energy relative to the elements? HoTm3ThSc

***

The lowest raw total energy belongs to which entry? HoTmThSc